# AlOs3S

Crystalline AlOs3S at its relaxed geometry (PBEsol, the Alexandria database).

Calculated values
- N(E_F) (states/eV/cell) = 6.81

a b c (Å): 4.4011 4.4011 4.4011
angles (deg): 90.00 90.00 90.00
Last column: nearest neighbours and their distance in Å.
Space group Pm-3m (No. 221)
Symmetry-distinct sites (fractional):
1 Al 0.0000 0.0000 0.0000 [1 per cell]  6 Os 2.20
2 Os 0.0000 0.0000 0.5000 [3 per cell]  2 Al 2.20
3 S 0.5000 0.5000 0.5000 [1 per cell]  12 Os 3.11

# TlNiP

Crystalline TlNiP at its relaxed geometry (PBEsol, the Alexandria database).

Calculated values
- ΔE_f (eV/atom) = -0.01
- N(E_F) (states/eV/cell) = 1.71

a b c (Å): 3.3595 3.3595 5.4420
angles (deg): 90.00 90.00 120.00
Last column: nearest neighbours and their distance in Å.
Space group P3m1 (No. 156)
Symmetry-distinct sites (fractional):
1 Tl 0.0000 0.0000 0.0000 [1 per cell]  3 Ni 2.83, 3 P 3.08
2 Ni 0.3333 0.6667 0.6204 [1 per cell]  3 P 2.18
3 P 0.6667 0.3333 0.4388 [1 per cell]  3 Ni 2.18

| no. | total energy (eV/atom) |
| --- | --- |
| 1 | -6.7740 |
| 2 | -4.8668 |